Computed, not measured: a geometry-optimized Ac2PrH structure at the GGA-PBE level of DFT.

Lattice parameters (Å, degrees): 3.721 3.721 9.237 90.00 90.00 90.00
Sites, in units of the cell vectors:
Pr1 0.500 0.500 0.500
Ac1 0.000 0.000 0.195
H1 0.500 0.500 0.000
Ac2 0.000 0.000 0.805

## Properties
Magnetization = 0.00 μB/atom
E = -3.9551 eV per atom
Symmetry = P4/mmm (123)

***

Computed, not measured: a geometry-optimized LaCu2Pb structure at the GGA-PBE level of DFT.

Lattice parameters (Å, degrees): 4.345 4.345 6.186 69.30 69.30 60.03
Sites, in units of the cell vectors:
Pb1 0.284 0.284 0.147
Cu1 0.702 0.702 0.893
Cu2 0.028 0.028 0.916
La1 0.485 0.485 0.544

## Properties
Magnetization = 0.00 μB/atom
Energy relative to the elements = -0.1643 eV per atom
Symmetry = Cm (8)

***

Computed, not measured: a geometry-optimized Ca2AcSi2 structure at the GGA-PBE level of DFT.

Lattice parameters (Å, degrees): 4.546 5.343 11.973 94.40 90.00 90.00
Sites, in units of the cell vectors:
Ac1 0.250 0.641 0.235
Ac2 0.750 0.359 0.765
Si1 0.250 0.764 0.651
Si2 0.750 0.611 0.016
Ca1 0.250 0.871 0.893
Ca2 0.750 0.129 0.107
Si3 0.250 0.389 0.984
Ca3 0.250 0.246 0.505
Si4 0.750 0.236 0.349
Ca4 0.750 0.754 0.495

## Properties
Magnetization = 0.00 μB/atom
Symmetry = P2_1/m (11)
E_form (uncorrected) = -0.366 eV/atom

***

Computed, not measured: a geometry-optimized Nd2SmDySe4 structure at the GGA-PBE level of DFT.

Lattice parameters (Å, degrees): 4.118 7.323 7.223 71.25 90.00 90.00
Sites, in units of the cell vectors:
Se1 0.500 0.738 0.258
Se2 0.000 0.742 0.749
Dy1 0.000 0.500 0.500
Se3 0.500 0.262 0.742
Nd1 0.500 0.000 0.500
Se4 0.000 0.258 0.251
Sm1 0.500 0.500 0.000
Nd2 0.000 0.000 0.000

## Properties
Magnetization = 0.00 μB/atom
Symmetry = P2/m (10)
E_form (uncorrected) = -1.810 eV/atom

***

Computed, not measured: a geometry-optimized H2WCl structure at the GGA-PBE level of DFT.

Lattice parameters (Å, degrees): 6.006 6.006 4.882 52.04 52.04 90.00
Sites, in units of the cell vectors:
W1 0.750 0.250 0.500
H1 0.021 0.625 0.250
W2 0.000 0.000 0.000
Cl1 0.250 0.750 0.500
H2 0.729 0.125 0.250
H3 0.375 0.271 0.750
H4 0.875 0.979 0.750
Cl2 0.500 0.500 0.000

## Properties
Magnetization = 0.00 μB/atom
E = -4.9009 eV per atom
Symmetry = I-42d (122)

***

Computed, not measured: a geometry-optimized DyAlPtRh structure at the GGA-PBE level of DFT.

Lattice parameters (Å, degrees): 4.626 4.626 4.626 60.00 60.00 60.00
Sites, in units of the cell vectors:
Pt1 0.750 0.750 0.750
Rh1 0.250 0.250 0.250
Al1 0.500 0.500 0.500
Dy1 0.000 0.000 0.000

## Properties
Magnetization = 0.00 μB/atom
Energy relative to the elements = -0.9340 eV per atom
Symmetry = F-43m (216)

***

Computed, not measured: a geometry-optimized Pr4RhSBr2 structure at the GGA-PBE level of DFT.

Lattice parameters (Å, degrees): 4.050 7.440 7.892 107.24 90.00 90.00
Sites, in units of the cell vectors:
Br1 0.500 0.000 0.500
Rh1 0.000 0.000 0.000
S1 0.500 0.500 0.000
Pr1 0.500 0.778 0.797
Pr2 0.500 0.222 0.203
Pr3 0.000 0.270 0.794
Pr4 0.000 0.730 0.206
Br2 0.000 0.500 0.500

## Properties
Magnetization = 0.00 μB/atom
Symmetry = P2/m (10)
E_form (uncorrected) = -1.302 eV/atom

***

Computed, not measured: a geometry-optimized SmPbAu structure at the GGA-PBE level of DFT.

Lattice parameters (Å, degrees): 3.651 3.651 6.502 106.30 106.30 90.00
Sites, in units of the cell vectors:
Au1 0.606 0.606 0.213
Pb1 0.271 0.271 0.541
Sm1 0.973 0.973 0.946

## Properties
Magnetization = 0.00 μB/atom
Energy relative to the elements = -0.5029 eV per atom
Symmetry = I4mm (107)